Computed, not measured: a relaxed structure of TmTlH at the PBE level of DFT.

Properties
E above lowest polymorph	296	meV/atom

abc: 3.1996 3.1996 11.6166
angles: 90.00 90.00 90.00
Space group I4mm (No. 107)
One atom of each set of equivalent atoms:
Tm (0.0000, 0.0000, 0.0000) x2
Tl (0.0000, 0.0000, 0.2706) x2
H (0.0000, 0.0000, 0.5340) x2



Computed, not measured: a relaxed structure of Tm6Tl5H at the PBE level of DFT.

Properties
energy	-3.6130	eV per atom

abc: 7.7284 10.6016 8.1804
angles: 90.00 101.48 90.00
Space group C2/m (No. 12)
One atom of each set of equivalent atoms:
Tm (0.1675, 0.0000, 0.3239) x4
Tm (0.2389, 0.1689, 0.7350) x8
Tl (0.0000, 0.1591, 0.0000) x4
Tl (0.0000, 0.3481, 0.5000) x4
Tl (0.0000, 0.5000, 0.0000) x2
H (0.0000, 0.0000, 0.5000) x2



Computed, not measured: a relaxed structure of Tm5Tl4H at the PBE level of DFT.

Properties
energy	-3.6624	eV per atom

abc: 9.9862 9.9862 4.9952
angles: 90.00 90.00 90.00
Space group I4 (No. 79)
One atom of each set of equivalent atoms:
Tm (0.0000, 0.0000, 0.0000) x2
Tm (0.1675, 0.8286, 0.5000) x8
Tl (0.0008, 0.6825, 0.0001) x8
H (0.0000, 0.0000, 0.4986) x2



Computed, not measured: a relaxed structure of Tm3TlH2 at the PBE level of DFT.

Properties
energy	-4.0441	eV per atom

abc: 17.3702 3.5187 8.1276
angles: 90.00 90.39 90.00
Space group C2/m (No. 12)
One atom of each set of equivalent atoms:
Tm (0.0594, 0.0000, 0.2896) x4
Tm (0.0889, 0.5000, 0.9060) x4
Tm (0.2344, 0.5000, 0.1850) x4
Tl (0.1611, 0.5000, 0.5462) x4
H (0.0575, 0.0000, 0.7774) x4
H (0.2157, 0.5000, 0.9270) x4



Computed, not measured: a relaxed structure of TlV2H at the PBE level of DFT.

Properties
E above lowest polymorph	702	meV/atom

abc: 6.1859 6.1859 6.1859
angles: 90.00 90.00 90.00
Space group Fm-3m (No. 225)
One atom of each set of equivalent atoms:
Tl (0.0000, 0.0000, 0.0000) x4
V (0.2500, 0.2500, 0.2500) x8
H (0.0000, 0.0000, 0.5000) x4



Computed, not measured: a relaxed structure of TlV2H at the PBE level of DFT.

Properties
E above lowest polymorph	0	meV/atom

abc: 5.0948 5.0948 8.7880
angles: 90.00 90.00 90.00
Space group I4_1/amd (No. 141, origin choice 2)
One atom of each set of equivalent atoms:
Tl (0.0000, 0.2500, 0.3750) x4
V (0.0000, 0.0000, 0.0000) x8
H (0.0000, 0.2500, 0.8750) x4



Computed, not measured: a relaxed structure of TlV2H at the PBE level of DFT.

Properties
E above lowest polymorph	0	meV/atom

abc: 3.1128 3.1128 22.1328
angles: 90.00 90.00 120.00
Space group R-3m (No. 166, hexagonal axes)
One atom of each set of equivalent atoms:
Tl (0.0000, 0.0000, 0.0000) x3
V (0.0000, 0.0000, 0.1302) x6
H (0.0000, 0.0000, 0.5000) x3



Computed, not measured: a relaxed structure of Tl4VH2 at the PBE level of DFT.

Properties
energy	-3.1429	eV per atom

abc: 5.5391 5.5391 10.7674
angles: 90.00 90.00 90.00
Space group I4/mmm (No. 139)
One atom of each set of equivalent atoms:
Tl (0.0000, 0.0000, 0.2478) x4
Tl (0.0000, 0.5000, 0.0000) x4
V (0.0000, 0.0000, 0.0000) x2
H (0.0000, 0.0000, 0.4181) x4